A plane-wave DFT calculation with PBEsol was carried out for a relaxed structure of SrH2Pd2.

Values from the calculation:
total magnetization: 0.00 μB per cell
symmetry: I4/mmm, No. 139
DFT total energy: -4.452 eV per atom

a = 3.761 Å, b = 3.761 Å, c = 9.945 Å
α = 90.00°, β = 90.00°, γ = 90.00°
Sites, in units of the cell vectors:
Sr  0.000  0.000  0.000
Sr  0.500  0.500  0.500
H  0.000  0.500  0.250
H  0.000  0.500  0.750
H  0.500  0.000  0.250
H  0.500  0.000  0.750
Pd  0.000  0.000  0.295
Pd  0.000  0.000  0.705
Pd  0.500  0.500  0.205
Pd  0.500  0.500  0.795